Compound: ZrTlInS3
Source: OQMD via LeMat-Bulk
Functional: PBE-GGA
Structure: optimized geometry

Cell and atoms, written as extended XYZ:
```
12
Lattice="1.8741 -8.7511 0.0000 1.8741 8.7511 0.0000 0.0000 0.0000 10.3852" Properties=species:S:1:pos:R:3 pbc="T T T"
S 1.8741 -1.7506 10.1529
S 1.8741 8.3186 2.5963
S 1.8741 1.7506 0.2322
Tl 1.8741 -3.5144 7.7889
Tl 1.8741 3.5144 2.5963
S 1.8741 1.7506 4.9604
In 1.8741 2.3584 7.7889
Zr 0.0000 0.0000 0.0000
S 1.8741 -8.3186 7.7889
In 1.8741 -2.3584 2.5963
Zr 0.0000 0.0000 5.1926
S 1.8741 -1.7506 5.4248
```

Magnetic moment   0.0 μB per cell
Raw total energy   -5.245 eV per atom
Symmetry   No. 63



Compound: TmIn2S4
Source: OQMD via LeMat-Bulk
Functional: PBE-GGA
Structure: optimized geometry

Cell and atoms, written as extended XYZ:
```
14
Lattice="0.0000 5.5973 5.5973 5.5973 0.0000 5.5973 5.5973 5.5973 0.0000" Properties=species:S:1:pos:R:3 pbc="T T T"
S 7.0900 4.1045 7.0900
S 9.8886 9.8886 9.8886
In 4.1979 1.3993 4.1979
In 1.3993 4.1979 4.1979
Tm 8.3959 8.3959 8.3959
S 6.9032 6.9032 9.8886
S 9.8886 6.9032 6.9032
S 4.1045 4.1045 4.1045
In 4.1979 4.1979 1.3993
In 1.3993 1.3993 1.3993
S 6.9032 9.8886 6.9032
S 4.1045 7.0900 7.0900
S 7.0900 7.0900 4.1045
Tm 5.5973 5.5973 5.5973
```

Magnetic moment   0.0 μB per cell
Raw total energy   -4.674 eV per atom
Symmetry   No. 227



Compound: InWS2
Source: OQMD via LeMat-Bulk
Functional: PBE-GGA
Structure: optimized geometry

Cell and atoms, written as extended XYZ:
```
8
Lattice="3.2309 0.0000 0.0000 -1.6155 2.7981 0.0000 0.0000 0.0000 17.9187" Properties=species:S:1:pos:R:3 pbc="T T T"
In 0.0000 0.0000 13.4390
S 1.6155 0.9327 16.3391
S 0.0000 1.8654 1.5796
W 0.0000 0.0000 0.0000
W 0.0000 0.0000 8.9593
S 1.6155 0.9327 10.5389
In 0.0000 0.0000 4.4797
S 0.0000 1.8654 7.3797
```

Magnetic moment   0.0 μB per cell
Raw total energy   -6.343 eV per atom
Symmetry   No. 194



Compound: ZnIn2S4
Source: OQMD via LeMat-Bulk
Functional: PBE-GGA
Structure: optimized geometry

Cell and atoms, written as extended XYZ:
```
14
Lattice="-0.4709 -0.9018 -3.7832 -3.1316 0.6232 2.2696 -0.3085 24.7559 -3.8345" Properties=species:S:1:pos:R:3 pbc="T T T"
S -2.6270 21.7542 -2.8304
S -2.0295 9.1248 -1.9226
In -0.9762 15.6382 -5.6347
In -1.1721 7.3933 -3.6449
S -1.8883 15.0988 -3.3642
S -0.7809 23.7615 -7.5954
S -0.9187 18.0234 -6.2104
In -1.7694 20.0272 -4.5538
Zn -1.9683 11.7006 -2.5442
S -2.9821 6.9058 0.7534
In -3.0386 4.5156 1.3302
Zn -2.5669 24.2742 -3.4386
S -1.0696 11.6904 -4.6820
S -2.1771 2.9532 -0.4330
```

Raw total energy   -3.890 eV per atom
Symmetry   No. 160